[1]
# CsSnBiS3 | Alexandria via LeMat-Bulk | PBE | optimized geometry
# E_form (uncorrected) = -0.66 eV per atom
data_CsSnBiS3
_cell_length_a 8.890
_cell_length_b 4.128
_cell_length_c 11.911
_cell_angle_alpha 90.00
_cell_angle_beta 110.69
_cell_angle_gamma 90.00
_space_group_name_H-M_alt 'P 1 21/m 1'
_space_group_IT_number 11
loop_
_space_group_symop_operation_xyz
'x,y,z'
'-x,-y,-z'
'-x,y+1/2,-z'
'x,-y+1/2,z'
loop_
_atom_site_label
_atom_site_type_symbol
_atom_site_fract_x
_atom_site_fract_y
_atom_site_fract_z
_atom_site_occupancy
Cs1 Cs 0.222 0.250 0.259 1
Sn1 Sn 0.150 0.250 0.568 1
Bi1 Bi 0.370 0.750 0.854 1
S1 S 0.124 0.250 0.774 1
S2 S 0.352 0.750 0.607 1
S3 S 0.399 0.750 0.096 1

---

[2]
DFT (PBE) results for crystalline Ba2Cd4In3Bi at its relaxed geometry.

Geometry as CIF:
```
data_Ba2Cd4In3Bi
_cell_length_a 4.990
_cell_length_b 4.990
_cell_length_c 12.339
_cell_angle_alpha 90.00
_cell_angle_beta 90.00
_cell_angle_gamma 90.00
_space_group_name_H-M_alt 'P -4 m 2'
_space_group_IT_number 115
loop_
_space_group_symop_operation_xyz
'x,y,z'
'y,-x,-z'
'-x,-y,z'
'-y,x,-z'
'-x,y,z'
'-y,-x,-z'
'x,-y,z'
'y,x,-z'
loop_
_atom_site_label
_atom_site_type_symbol
_atom_site_fract_x
_atom_site_fract_y
_atom_site_fract_z
_atom_site_occupancy
Ba1 Ba 0.000 0.500 0.244 1
Cd1 Cd 0.000 0.000 0.000 1
Cd2 Cd 0.000 0.500 0.643 1
Cd3 Cd 0.500 0.500 0.000 1
In1 In 0.000 0.500 0.872 1
In2 In 0.500 0.500 0.500 1
Bi1 Bi 0.000 0.000 0.500 1
```

---

[3]
# BeCSe3 | Alexandria via LeMat-Bulk | PBE | optimized geometry
# E_form (uncorrected) = 1.31 eV per atom
# distance to the lowest polymorph of the same formula = 0.0 kJ per mole of atoms
data_BeCSe3
_cell_length_a 4.365
_cell_length_b 4.365
_cell_length_c 4.365
_cell_angle_alpha 90.00
_cell_angle_beta 90.00
_cell_angle_gamma 90.00
_space_group_name_H-M_alt 'P m -3 m'
_space_group_IT_number 221
_space_group_name_Hall '-P 4 2 3'
loop_
_atom_site_label
_atom_site_type_symbol
_atom_site_fract_x
_atom_site_fract_y
_atom_site_fract_z
_atom_site_occupancy
Be1 Be 0.000 0.000 0.000 1
C1 C 0.500 0.500 0.500 1
Se1 Se 0.000 0.500 0.500 1

---

[4]
# UHg2PbO6 | Alexandria via LeMat-Bulk | PBE | optimized geometry
# E_form (uncorrected) = -1.55 eV per atom
data_UHg2PbO6
_cell_length_a 6.0288
_cell_length_b 6.0288
_cell_length_c 15.5491
_cell_angle_alpha 90.00
_cell_angle_beta 90.00
_cell_angle_gamma 120.00
_space_group_name_H-M_alt 'R -3'
_space_group_IT_number 148
_space_group_name_Hall '-R 3'
loop_
_atom_site_label
_atom_site_type_symbol
_atom_site_fract_x
_atom_site_fract_y
_atom_site_fract_z
_atom_site_occupancy
U1 U 0.0000 0.0000 0.0000 1
Hg1 Hg 0.0000 0.0000 0.2406 1
Pb1 Pb 0.0000 0.0000 0.5000 1
O1 O 0.0099 0.2886 0.0794 1

---

[5]
DFT (PBE) results for crystalline Li2NdCd4Ag at its relaxed geometry.

Geometry as CIF:
```
data_Li2NdCd4Ag
_cell_length_a 4.7395
_cell_length_b 4.7395
_cell_length_c 27.3265
_cell_angle_alpha 90.00
_cell_angle_beta 90.00
_cell_angle_gamma 120.00
_space_group_name_H-M_alt 'R -3 m'
_space_group_IT_number 166
_space_group_name_Hall '-R 3 2"'
loop_
_atom_site_label
_atom_site_type_symbol
_atom_site_fract_x
_atom_site_fract_y
_atom_site_fract_z
_atom_site_occupancy
Li1 Li 0.0000 0.0000 0.2361 1
Nd1 Nd 0.0000 0.0000 0.0000 1
Cd1 Cd 0.0000 0.0000 0.1258 1
Cd2 Cd 0.0000 0.0000 0.3958 1
Ag1 Ag 0.0000 0.0000 0.5000 1
```

---

[6]
DFT (PBE) results for crystalline Tm5Sc2In at its relaxed geometry.

Geometry as CIF:
```
data_Tm5Sc2In
_cell_length_a 4.930
_cell_length_b 11.103
_cell_length_c 16.562
_cell_angle_alpha 90.00
_cell_angle_beta 90.00
_cell_angle_gamma 90.00
_space_group_name_H-M_alt 'C m c m'
_space_group_IT_number 63
_space_group_name_Hall '-C 2c 2'
loop_
_atom_site_label
_atom_site_type_symbol
_atom_site_fract_x
_atom_site_fract_y
_atom_site_fract_z
_atom_site_occupancy
Tm1 Tm 0.000 0.016 0.250 1
Tm2 Tm 0.000 0.147 0.037 1
Tm3 Tm 0.000 0.444 0.095 1
Sc1 Sc 0.000 0.261 0.653 1
In1 In 0.000 0.297 0.250 1
```

---

Quick rundown of raw total energy, same order as above: -50.20; -23.14; -16.87; -182.49; -50.20; -152.55 eV/cell
Quick rundown of total moment, same order as above: 0.000; 0.000; 0.000; 0.000; 0.000; 0.001 μB/cell